Entry 1:
# RbMnPdCl2

A PBEsol-optimized structure of RbMnPdCl2 (meta-GGA SCAN, Alexandria via LeMat-Bulk).

Calculated values
The value obtained for the magnetic moment is 4.20 Bohr magnetons per cell. The density of states at the Fermi level is 1.03 states/eV/f.u. The value obtained for the calculated density is 4.5 Mg/m³.

```
data_RbMnPdCl2
_chemical_formula_sum 'Rb1 Mn1 Pd1 Cl2'
_cell_length_a 4.841
_cell_length_b 4.841
_cell_length_c 4.955
_cell_angle_alpha 90.00
_cell_angle_beta 90.00
_cell_angle_gamma 90.00
_symmetry_space_group_name_H-M 'P 4/m m m'
_symmetry_Int_Tables_number 123
_symmetry_space_group_name_Hall '-P 4 2'
loop_
_atom_site_label
_atom_site_type_symbol
_atom_site_fract_x
_atom_site_fract_y
_atom_site_fract_z
Rb1 Rb 0.000 0.000 0.000
Mn1 Mn 0.500 0.500 0.500
Pd1 Pd 0.500 0.500 0.000
Cl1 Cl 0.000 0.500 0.500
```

Entry 2:
# MnPtCl2

A PBEsol-optimized structure of MnPtCl2 (meta-GGA SCAN, Alexandria via LeMat-Bulk).

Calculated values
The value obtained for the magnetic moment is 19.67 Bohr magnetons per cell. For the energy above the most stable polymorph in this dataset, the calculation gives 0.669 eV/atom. The density of states at the Fermi level is 1.57 states/eV/f.u. The value obtained for the calculated density is 8.0 Mg/m³.

```
data_MnPtCl2
_chemical_formula_sum 'Mn4 Pt4 Cl8'
_cell_length_a 6.432
_cell_length_b 6.432
_cell_length_c 6.432
_cell_angle_alpha 90.00
_cell_angle_beta 90.00
_cell_angle_gamma 90.00
_symmetry_space_group_name_H-M 'F -4 3 m'
_symmetry_Int_Tables_number 216
_symmetry_space_group_name_Hall 'F -4 2 3'
loop_
_atom_site_label
_atom_site_type_symbol
_atom_site_fract_x
_atom_site_fract_y
_atom_site_fract_z
Mn1 Mn 0.000 0.000 0.000
Pt1 Pt 0.250 0.250 0.250
Cl1 Cl 0.000 0.000 0.500
Cl2 Cl 0.250 0.250 0.750
```

Entry 3:
# MnPtCl

A PBEsol-optimized structure of MnPtCl (meta-GGA SCAN, Alexandria via LeMat-Bulk).

Calculated values
The value obtained for the magnetic moment is 0.00 Bohr magnetons per cell. For the energy above the most stable polymorph in this dataset, the calculation gives 1.054 eV/atom. The value obtained for the calculated density is 10.1 Mg/m³.

```
data_MnPtCl
_chemical_formula_sum 'Mn4 Pt4 Cl4'
_cell_length_a 5.719
_cell_length_b 5.719
_cell_length_c 5.719
_cell_angle_alpha 90.00
_cell_angle_beta 90.00
_cell_angle_gamma 90.00
_symmetry_space_group_name_H-M 'F -4 3 m'
_symmetry_Int_Tables_number 216
_symmetry_space_group_name_Hall 'F -4 2 3'
loop_
_atom_site_label
_atom_site_type_symbol
_atom_site_fract_x
_atom_site_fract_y
_atom_site_fract_z
Mn1 Mn 0.000 0.000 0.000
Pt1 Pt 0.250 0.250 0.750
Cl1 Cl 0.250 0.250 0.250
```

Entry 4:
# MnPt2Cl

A PBEsol-optimized structure of MnPt2Cl (meta-GGA SCAN, Alexandria via LeMat-Bulk).

Calculated values
The value obtained for the magnetic moment is 9.56 Bohr magnetons per cell. For the energy above the most stable polymorph in this dataset, the calculation gives 0.107 eV/atom. The density of states at the Fermi level is 2.59 states/eV/f.u. The value obtained for the calculated density is 13.0 Mg/m³.

```
data_MnPt2Cl
_chemical_formula_sum 'Mn2 Pt4 Cl2'
_cell_length_a 5.479
_cell_length_b 7.938
_cell_length_c 2.832
_cell_angle_alpha 90.00
_cell_angle_beta 90.00
_cell_angle_gamma 90.00
_symmetry_space_group_name_H-M 'C m m m'
_symmetry_Int_Tables_number 65
_symmetry_space_group_name_Hall '-C 2 2'
loop_
_atom_site_label
_atom_site_type_symbol
_atom_site_fract_x
_atom_site_fract_y
_atom_site_fract_z
Mn1 Mn 0.000 0.000 0.000
Pt1 Pt 0.250 0.250 0.500
Cl1 Cl 0.000 0.500 0.000
```

Entry 5:
# MnPtCl

A PBEsol-optimized structure of MnPtCl (meta-GGA SCAN, Alexandria via LeMat-Bulk).

Calculated values
The value obtained for the magnetic moment is 4.44 Bohr magnetons per cell. For the energy above the most stable polymorph in this dataset, the calculation gives 0.406 eV/atom. The density of states at the Fermi level is 0.89 states/eV/f.u. The value obtained for the calculated density is 10.3 Mg/m³.

```
data_MnPtCl
_chemical_formula_sum 'Mn1 Pt1 Cl1'
_cell_length_a 4.2451
_cell_length_b 4.2451
_cell_length_c 2.9608
_cell_angle_alpha 90.00
_cell_angle_beta 90.00
_cell_angle_gamma 120.00
_symmetry_space_group_name_H-M 'P 3 m 1'
_symmetry_Int_Tables_number 156
loop_
_symmetry_equiv_pos_as_xyz
'x,y,z'
'-y,x-y,z'
'-x+y,-x,z'
'-y,-x,z'
'-x+y,y,z'
'x,x-y,z'
loop_
_atom_site_label
_atom_site_type_symbol
_atom_site_fract_x
_atom_site_fract_y
_atom_site_fract_z
Mn1 Mn 0.0000 0.0000 0.0000
Pt1 Pt 0.6667 0.3333 0.5136
Cl1 Cl 0.3333 0.6667 0.1384
```

Entry 6:
# MnPtCl2

A PBEsol-optimized structure of MnPtCl2 (meta-GGA SCAN, Alexandria via LeMat-Bulk).

Calculated values
The value obtained for the magnetic moment is 8.35 Bohr magnetons per cell. For the energy above the most stable polymorph in this dataset, the calculation gives 0.048 eV/atom. The density of states at the Fermi level is 1.54 states/eV/f.u. The value obtained for the calculated density is 7.1 Mg/m³.

```
data_MnPtCl2
_chemical_formula_sum 'Mn2 Pt2 Cl4'
_cell_length_a 3.564
_cell_length_b 5.167
_cell_length_c 8.151
_cell_angle_alpha 90.00
_cell_angle_beta 90.00
_cell_angle_gamma 90.00
_symmetry_space_group_name_H-M 'C m m 2'
_symmetry_Int_Tables_number 35
loop_
_symmetry_equiv_pos_as_xyz
'x,y,z'
'-x,-y,z'
'-x,y,z'
'x,-y,z'
'x+1/2,y+1/2,z'
'-x+1/2,-y+1/2,z'
'-x+1/2,y+1/2,z'
'x+1/2,-y+1/2,z'
loop_
_atom_site_label
_atom_site_type_symbol
_atom_site_fract_x
_atom_site_fract_y
_atom_site_fract_z
Mn1 Mn 0.000 0.000 0.000
Pt1 Pt 0.000 0.500 0.791
Cl1 Cl 0.000 0.000 0.580
Cl2 Cl 0.000 0.500 0.192
```

Entry 7:
# MnPtCl2

A PBEsol-optimized structure of MnPtCl2 (meta-GGA SCAN, Alexandria via LeMat-Bulk).

Calculated values
The value obtained for the magnetic moment is 9.03 Bohr magnetons per cell. For the energy above the most stable polymorph in this dataset, the calculation gives 0.436 eV/atom. The density of states at the Fermi level is 1.46 states/eV/f.u. The value obtained for the calculated density is 7.9 Mg/m³.

```
data_MnPtCl2
_chemical_formula_sum 'Mn2 Pt2 Cl4'
_cell_length_a 2.938
_cell_length_b 5.636
_cell_length_c 8.155
_cell_angle_alpha 90.00
_cell_angle_beta 90.00
_cell_angle_gamma 90.00
_symmetry_space_group_name_H-M 'I m m m'
_symmetry_Int_Tables_number 71
_symmetry_space_group_name_Hall '-I 2 2'
loop_
_atom_site_label
_atom_site_type_symbol
_atom_site_fract_x
_atom_site_fract_y
_atom_site_fract_z
Mn1 Mn 0.000 0.000 0.000
Pt1 Pt 0.000 0.000 0.500
Cl1 Cl 0.000 0.500 0.275
```

Entry 8:
# MnPt2Cl

A PBEsol-optimized structure of MnPt2Cl (meta-GGA SCAN, Alexandria via LeMat-Bulk).

Calculated values
The value obtained for the magnetic moment is 8.56 Bohr magnetons per cell. For the energy above the most stable polymorph in this dataset, the calculation gives 0.000 eV/atom. The density of states at the Fermi level is 2.39 states/eV/f.u. The value obtained for the calculated density is 13.1 Mg/m³.

```
data_MnPt2Cl
_chemical_formula_sum 'Mn2 Pt4 Cl2'
_cell_length_a 2.844
_cell_length_b 4.711
_cell_length_c 9.121
_cell_angle_alpha 90.00
_cell_angle_beta 90.00
_cell_angle_gamma 90.00
_symmetry_space_group_name_H-M 'I m m 2'
_symmetry_Int_Tables_number 44
loop_
_symmetry_equiv_pos_as_xyz
'x,y,z'
'-x,-y,z'
'-x,y,z'
'x,-y,z'
'x+1/2,y+1/2,z+1/2'
'-x+1/2,-y+1/2,z+1/2'
'-x+1/2,y+1/2,z+1/2'
'x+1/2,-y+1/2,z+1/2'
loop_
_atom_site_label
_atom_site_type_symbol
_atom_site_fract_x
_atom_site_fract_y
_atom_site_fract_z
Mn1 Mn 0.000 0.000 0.000
Pt1 Pt 0.000 0.000 0.505
Pt2 Pt 0.000 0.500 0.725
Cl1 Cl 0.000 0.500 0.302
```

Energy relative to the elements, uncorrected readings, ordered: -19.5; 2.8; 14.1; 5.3; -0.9; -11.5; -2.5; 2.8 kcal/mol of atoms